1.
First-principles (PBE) data for a relaxed CaPm2Ag2 crystal, as listed in Alexandria via LeMat-Bulk.

abc: 5.7067 4.8276 11.2763
angles: 90.00 99.66 90.00
With the nearest neighbours (Å) after each atom.
Sites, in units of the cell vectors:
Ca1 0.0767 0.2500 0.2807  5 Ag 3.15-3.27
Ca2 0.9233 0.7500 0.7193  5 Ag 3.15-3.27
Pm1 0.2528 0.2500 0.9648  4 Ag 3.05-3.09
Pm2 0.3995 0.2500 0.6200  5 Ag 3.04-3.13
Pm3 0.6005 0.7500 0.3800  5 Ag 3.04-3.13
Pm4 0.7472 0.7500 0.0352  4 Ag 3.05-3.09
Ag1 0.1376 0.7500 0.4794  2 Ag 2.96, 4 Pm 3.04-3.13, 3 Ca 3.15-3.27
Ag2 0.2766 0.7500 0.1365  5 Pm 3.04-3.09, 2 Ca 3.22
Ag3 0.7234 0.2500 0.8635  5 Pm 3.04-3.09, 2 Ca 3.22
Ag4 0.8624 0.2500 0.5206  2 Ag 2.96, 4 Pm 3.04-3.13, 3 Ca 3.15-3.27

Energy of formation from the pure elements   -121 meV per atom
E   -3.562 eV per atom
DOS at the Fermi energy   5.59 states/eV/f.u.
Distance to the lowest polymorph of the same formula   0.0833 eV/atom

=====

2.
First-principles (PBE) data for a relaxed CaPm2Ag5 crystal, as listed in Alexandria via LeMat-Bulk.

abc: 5.1716 5.1716 14.2301
angles: 90.00 90.00 90.00
With the nearest neighbours (Å) after each atom.
Sites, in units of the cell vectors:
Ca1 0.0000 0.0000 0.0000  8 Ag 3.07
Ca2 0.5000 0.5000 0.5000  8 Ag 3.07
Pm1 0.0000 0.0000 0.2677  9 Ag 3.06-3.36
Pm2 0.0000 0.0000 0.7323  9 Ag 3.06-3.36
Pm3 0.5000 0.5000 0.2323  9 Ag 3.06-3.36
Pm4 0.5000 0.5000 0.7677  9 Ag 3.06-3.36
Ag1 0.0000 0.0000 0.5000  8 Ag 3.07, 2 Pm 3.31
Ag2 0.0000 0.5000 0.1168  4 Pm 3.06-3.36, 2 Ca 3.07, 3 Ag 3.07-3.32
Ag3 0.0000 0.5000 0.3832  4 Pm 3.06-3.36, 2 Ca 3.07, 3 Ag 3.07-3.32
Ag4 0.0000 0.5000 0.6168  4 Pm 3.06-3.36, 2 Ca 3.07, 3 Ag 3.07-3.32
Ag5 0.0000 0.5000 0.8832  4 Pm 3.06-3.36, 2 Ca 3.07, 3 Ag 3.07-3.32
Ag6 0.5000 0.0000 0.1168  4 Pm 3.06-3.36, 2 Ca 3.07, 3 Ag 3.07-3.32
Ag7 0.5000 0.0000 0.3832  4 Pm 3.06-3.36, 2 Ca 3.07, 3 Ag 3.07-3.32
Ag8 0.5000 0.0000 0.6168  4 Pm 3.06-3.36, 2 Ca 3.07, 3 Ag 3.07-3.32
Ag9 0.5000 0.0000 0.8832  4 Pm 3.06-3.36, 2 Ca 3.07, 3 Ag 3.07-3.32
Ag10 0.5000 0.5000 0.0000  8 Ag 3.07, 2 Pm 3.31

Energy of formation from the pure elements   -215 meV per atom
E   -3.435 eV per atom
DOS at the Fermi energy   6.02 states/eV/f.u.

=====

3.
First-principles (PBE) data for a relaxed CaPm2Ag crystal, as listed in Alexandria via LeMat-Bulk.

abc: 5.3478 5.3478 4.1966
angles: 90.00 90.00 90.00
With the nearest neighbours (Å) after each atom.
Sites, in units of the cell vectors:
Ca1 0.0000 0.0000 0.0000  8 Pm 3.40, 4 Ag 3.78
Pm1 0.0000 0.5000 0.5000  4 Ca 3.40, 4 Ag 3.40, 4 Pm 3.78
Pm2 0.5000 0.0000 0.5000  4 Ca 3.40, 4 Ag 3.40, 4 Pm 3.78
Ag1 0.5000 0.5000 0.0000  8 Pm 3.40, 4 Ca 3.78

Energy of formation from the pure elements   28 meV per atom
E   -3.560 eV per atom
DOS at the Fermi energy   3.28 states/eV/f.u.
Distance to the lowest polymorph of the same formula   0.0785 eV/atom

=====

4.
First-principles (PBE) data for a relaxed Ca4PmAg5 crystal, as listed in Alexandria via LeMat-Bulk.

abc: 3.7358 3.7358 18.4346
angles: 90.00 90.00 90.00
With the nearest neighbours (Å) after each atom.
Sites, in units of the cell vectors:
Ca1 0.0000 0.0000 0.0991  8 Ag 3.21
Ca2 0.0000 0.0000 0.2995  8 Ag 3.23-3.26
Ca3 0.0000 0.0000 0.7005  8 Ag 3.23-3.26
Ca4 0.0000 0.0000 0.9009  8 Ag 3.21
Pm1 0.0000 0.0000 0.5000  8 Ag 3.19
Ag1 0.5000 0.5000 0.0000  8 Ca 3.21
Ag2 0.5000 0.5000 0.1984  8 Ca 3.21-3.23
Ag3 0.5000 0.5000 0.4034  4 Pm 3.19, 4 Ca 3.26, 1 Ag 3.56
Ag4 0.5000 0.5000 0.5966  4 Pm 3.19, 4 Ca 3.26, 1 Ag 3.56
Ag5 0.5000 0.5000 0.8016  8 Ca 3.21-3.23

Energy of formation from the pure elements   -306 meV per atom
E   -3.007 eV per atom
DOS at the Fermi energy   7.75 states/eV/f.u.

=====

5.
First-principles (PBE) data for a relaxed CaPm2Ag crystal, as listed in Alexandria via LeMat-Bulk.

abc: 3.5339 3.5339 35.8240
angles: 90.00 90.00 120.00
With the nearest neighbours (Å) after each atom.
Sites, in units of the cell vectors:
Ca1 0.0000 0.0000 0.0000  2 Pm 3.52, 6 Ca 3.53
Ca2 0.3333 0.6667 0.6667  2 Pm 3.52, 6 Ca 3.53
Ca3 0.6667 0.3333 0.3333  2 Pm 3.52, 6 Ca 3.53
Pm1 0.0000 0.0000 0.0982  3 Ag 3.19, 1 Ca 3.52, 6 Pm 3.53
Pm2 0.0000 0.0000 0.9018  3 Ag 3.19, 1 Ca 3.52, 6 Pm 3.53
Pm3 0.3333 0.6667 0.5685  3 Ag 3.19, 1 Ca 3.52, 6 Pm 3.53
Pm4 0.3333 0.6667 0.7648  3 Ag 3.19, 1 Ca 3.52, 6 Pm 3.53
Pm5 0.6667 0.3333 0.2352  3 Ag 3.19, 1 Ca 3.52, 6 Pm 3.53
Pm6 0.6667 0.3333 0.4315  3 Ag 3.19, 1 Ca 3.52, 6 Pm 3.53
Ag1 0.0000 0.0000 0.5000  6 Pm 3.19, 6 Ag 3.53
Ag2 0.3333 0.6667 0.1667  6 Pm 3.19, 6 Ag 3.53
Ag3 0.6667 0.3333 0.8333  6 Pm 3.19, 6 Ag 3.53

Energy of formation from the pure elements   153 meV per atom
E   -3.436 eV per atom
DOS at the Fermi energy   4.59 states/eV/f.u.
Distance to the lowest polymorph of the same formula   0.2028 eV/atom

=====

6.
First-principles (PBE) data for a relaxed Ca2PmAg crystal, as listed in Alexandria via LeMat-Bulk.

abc: 3.6702 3.6702 34.7369
angles: 90.00 90.00 120.00
With the nearest neighbours (Å) after each atom.
Sites, in units of the cell vectors:
Ca1 0.0000 0.0000 0.1021  3 Ag 3.09
Ca2 0.0000 0.0000 0.8979  3 Ag 3.09
Ca3 0.3333 0.6667 0.5646  3 Ag 3.09
Ca4 0.3333 0.6667 0.7687  3 Ag 3.09
Ca5 0.6667 0.3333 0.2313  3 Ag 3.09
Ca6 0.6667 0.3333 0.4354  3 Ag 3.09
Pm1 0.0000 0.0000 0.0000  2 Ca 3.55, 6 Pm 3.67
Pm2 0.3333 0.6667 0.6667  2 Ca 3.55, 6 Pm 3.67
Pm3 0.6667 0.3333 0.3333  2 Ca 3.55, 6 Pm 3.67
Ag1 0.0000 0.0000 0.5000  6 Ca 3.09
Ag2 0.3333 0.6667 0.1667  6 Ca 3.09
Ag3 0.6667 0.3333 0.8333  6 Ca 3.09

Energy of formation from the pure elements   135 meV per atom
E   -2.767 eV per atom
DOS at the Fermi energy   4.62 states/eV/f.u.
Distance to the lowest polymorph of the same formula   0.2322 eV/atom

=====

7.
First-principles (PBE) data for a relaxed CaPmAg crystal, as listed in Alexandria via LeMat-Bulk.

abc: 9.4026 8.3567 7.8668
angles: 70.77 57.05 52.18
With the nearest neighbours (Å) after each atom.
Sites, in units of the cell vectors:
Ca1 0.0000 0.0000 0.0000  2 Ag 3.13
Ca2 0.0000 0.0000 0.5000  2 Ag 3.13
Ca3 0.0000 0.5000 0.0000  2 Ag 3.13
Ca4 0.5000 0.0000 0.0000  2 Ag 3.13
Pm1 0.2439 0.2439 0.5061  4 Ag 2.95-3.04
Pm2 0.4939 0.4939 0.7561  4 Ag 2.95-3.04
Pm3 0.5061 0.5061 0.2439  4 Ag 2.95-3.04
Pm4 0.7561 0.7561 0.4939  4 Ag 2.95-3.04
Ag1 0.1834 0.5666 0.1834  4 Pm 2.95-3.04, 2 Ca 3.13
Ag2 0.4334 0.8166 0.4334  4 Pm 2.95-3.04, 2 Ca 3.13
Ag3 0.5666 0.1834 0.5666  4 Pm 2.95-3.04, 2 Ca 3.13
Ag4 0.8166 0.4334 0.8166  4 Pm 2.95-3.04, 2 Ca 3.13

Energy of formation from the pure elements   -37 meV per atom
E   -3.238 eV per atom
DOS at the Fermi energy   3.03 states/eV/f.u.
Distance to the lowest polymorph of the same formula   0.1442 eV/atom

=====

8.
First-principles (PBE) data for a relaxed Ca3PmAg8 crystal, as listed in Alexandria via LeMat-Bulk.

abc: 9.8570 9.8570 9.8570
angles: 34.36 34.36 34.36
With the nearest neighbours (Å) after each atom.
Sites, in units of the cell vectors:
Ca1 0.0000 0.0000 0.0000  12 Ag 3.34-3.42, 4 Ca 3.50-3.54
Ca2 0.1258 0.1258 0.1258  12 Ag 3.34-3.41, 1 Ca 3.50, 3 Pm 3.56
Ca3 0.6270 0.6270 0.6270  12 Ag 3.34-3.41, 1 Pm 3.50, 3 Ca 3.54
Pm1 0.5010 0.5010 0.5010  12 Ag 3.33-3.41, 4 Ca 3.50-3.56
Ag1 0.0641 0.0641 0.5612  6 Ag 2.86-2.93
Ag2 0.0641 0.5612 0.0641  6 Ag 2.86-2.93
Ag3 0.0648 0.5640 0.5640  6 Ag 2.85-2.92
Ag4 0.3137 0.3137 0.3137  6 Ag 2.87
Ag5 0.5612 0.0641 0.0641  6 Ag 2.86-2.93
Ag6 0.5640 0.0648 0.5640  6 Ag 2.85-2.92
Ag7 0.5640 0.5640 0.0648  6 Ag 2.85-2.92
Ag8 0.8134 0.8134 0.8134  6 Ag 2.85-2.86

Energy of formation from the pure elements   -229 meV per atom
E   -3.026 eV per atom
DOS at the Fermi energy   9.08 states/eV/f.u.

=====

9.
First-principles (PBE) data for a relaxed CaPmAg crystal, as listed in Alexandria via LeMat-Bulk.

abc: 17.2442 3.6785 5.5081
angles: 90.00 90.08 90.00
With the nearest neighbours (Å) after each atom.
Sites, in units of the cell vectors:
Ca1 0.0774 0.0000 0.2478  6 Ag 3.23-3.32
Ca2 0.4226 0.5000 0.7522  6 Ag 3.23-3.32
Ca3 0.5774 0.5000 0.2478  6 Ag 3.23-3.32
Ca4 0.9226 0.0000 0.7522  6 Ag 3.23-3.32
Pm1 0.2225 0.0000 0.7497  2 Ag 3.12, 4 Pm 3.44-3.45
Pm2 0.2775 0.5000 0.2503  2 Ag 3.12, 4 Pm 3.44-3.45
Pm3 0.7225 0.5000 0.7497  2 Ag 3.12, 4 Pm 3.44-3.45
Pm4 0.7775 0.0000 0.2503  2 Ag 3.12, 4 Pm 3.44-3.45
Ag1 0.0762 0.5000 0.7455  2 Pm 3.12, 6 Ca 3.23-3.32
Ag2 0.4238 0.0000 0.2545  2 Pm 3.12, 6 Ca 3.23-3.32
Ag3 0.5762 0.0000 0.7455  2 Pm 3.12, 6 Ca 3.23-3.32
Ag4 0.9238 0.5000 0.2545  2 Pm 3.12, 6 Ca 3.23-3.32

Energy of formation from the pure elements   -181 meV per atom
E   -3.382 eV per atom
DOS at the Fermi energy   2.60 states/eV/f.u.
Distance to the lowest polymorph of the same formula   0.0000 eV/atom

=====

10.
First-principles (PBE) data for a relaxed CaPm2Ag8 crystal, as listed in Alexandria via LeMat-Bulk.

abc: 8.6844 8.6844 6.1748
angles: 110.66 110.66 35.28
With the nearest neighbours (Å) after each atom.
Sites, in units of the cell vectors:
Ca1 0.0000 0.0000 0.0000  6 Ag 3.11-3.36
Pm1 0.1828 0.1828 0.6831  12 Ag 3.10-3.22
Pm2 0.8172 0.8172 0.3169  12 Ag 3.10-3.22
Ag1 0.2025 0.2025 0.2026  6 Ag 3.06-3.18, 4 Pm 3.10-3.17, 1 Ca 3.11
Ag2 0.2513 0.7487 0.5000  2 Ag 2.62-2.65
Ag3 0.3689 0.3689 0.0965  4 Ag 2.81-3.06
Ag4 0.3686 0.3686 0.6411  4 Ag 2.81-3.06
Ag5 0.6314 0.6314 0.3589  4 Ag 2.81-3.06
Ag6 0.6311 0.6311 0.9035  4 Ag 2.81-3.06
Ag7 0.7487 0.2513 0.5000  2 Ag 2.62-2.65
Ag8 0.7975 0.7975 0.7974  6 Ag 3.06-3.18, 4 Pm 3.10-3.17, 1 Ca 3.11

Energy of formation from the pure elements   -223 meV per atom
E   -3.342 eV per atom
DOS at the Fermi energy   5.76 states/eV/f.u.

=====

11.
First-principles (PBE) data for a relaxed Ca2PmAg crystal, as listed in Alexandria via LeMat-Bulk.

abc: 3.7800 3.7800 31.9562
angles: 90.00 90.00 120.00
With the nearest neighbours (Å) after each atom.
Sites, in units of the cell vectors:
Ca1 0.0000 0.0000 0.0000  3 Ag 3.11
Ca2 0.0000 0.0000 0.1945  3 Ag 3.12
Ca3 0.3333 0.6667 0.6667  3 Ag 3.11
Ca4 0.3333 0.6667 0.8611  3 Ag 3.12
Ca5 0.6667 0.3333 0.3333  3 Ag 3.11
Ca6 0.6667 0.3333 0.5278  3 Ag 3.12
Pm1 0.0000 0.0000 0.7634  6 Pm 3.78, 6 Ca 3.78-3.81
Pm2 0.3333 0.6667 0.4300  6 Pm 3.78, 6 Ca 3.78-3.81
Pm3 0.6667 0.3333 0.0967  6 Pm 3.78, 6 Ca 3.78-3.81
Ag1 0.0000 0.0000 0.5974  6 Ca 3.11-3.12
Ag2 0.3333 0.6667 0.2640  6 Ca 3.11-3.12
Ag3 0.6667 0.3333 0.9307  6 Ca 3.11-3.12

Energy of formation from the pure elements   -14 meV per atom
E   -2.916 eV per atom
DOS at the Fermi energy   4.33 states/eV/f.u.
Distance to the lowest polymorph of the same formula   0.0830 eV/atom

=====

12.
First-principles (PBE) data for a relaxed CaPmAg crystal, as listed in Alexandria via LeMat-Bulk.

abc: 5.2444 5.2444 3.6322
angles: 90.00 90.00 120.00
With the nearest neighbours (Å) after each atom.
Sites, in units of the cell vectors:
Ca1 0.0000 0.0000 0.0000  3 Ag 3.15, 3 Pm 3.43
Pm1 0.3333 0.6667 0.4425  3 Ag 3.25, 3 Ca 3.43, 2 Pm 3.63
Ag1 0.6667 0.3333 0.7644  3 Ca 3.15, 3 Pm 3.25

Energy of formation from the pure elements   6 meV per atom
E   -3.195 eV per atom
DOS at the Fermi energy   2.71 states/eV/f.u.
Distance to the lowest polymorph of the same formula   0.1873 eV/atom